# SrScSeN2

Crystalline SrScSeN2 at its relaxed geometry (PBE-GGA, Alexandria).

## Properties
**Formation energy without anion corrections**: 0.9298 eV/atom
**Calculated total energy**: -4.70 eV/atom
**Space group**: P4/mmm
**Calculated volume**: 106.1 Å³ per cell
**Magnetization**: 0.5 μB per cell
**Distance to the lowest polymorph of the same formula**: 1300.1 meV/atom

```
5
Lattice="-3.767 1.990 -0.341 -0.881 -0.969 4.069 2.468 4.967 1.717" Properties=species:S:1:pos:R:3 pbc="T T T"
N -1.884 0.995 -0.171
N -0.440 -0.485 2.034
Sr 0.000 0.000 0.000
Sc -1.090 2.994 2.722
Se 1.234 2.484 0.859
```